VASP calculation (PBEsol) on ScP2Ir after structural relaxation.

formation energy	-0.654	eV/atom
excess energy over the best structure of this formula in the dataset	0.0202	eV/atom
Fermi-level density of states	2.17	states/eV per cell
symmetry	P4mm

Cell: 3.417 3.417 5.230 Å, 90.00 90.00 90.00°
Fractional positions:
Sc 0.000 0.000 0.000
P 0.000 0.000 0.497
P 0.500 0.500 0.843
Ir 0.500 0.500 0.372

---

VASP calculation (PBEsol) on Zr6CoI14 after structural relaxation.

formation energy (no corrections)	-913	meV/atom
Fermi-level density of states	15.35	states/eV per cell
symmetry	Cmce

Cell: 10.640 10.640 12.896 Å, 90.00 90.00 83.62°
Fractional positions:
Zr 0.044 0.181 0.886
Zr 0.144 0.856 0.894
Zr 0.181 0.044 0.114
Zr 0.319 0.456 0.614
Zr 0.356 0.644 0.394
Zr 0.456 0.319 0.386
Zr 0.544 0.681 0.614
Zr 0.644 0.356 0.606
Zr 0.681 0.544 0.386
Zr 0.819 0.956 0.886
Zr 0.856 0.144 0.106
Zr 0.956 0.819 0.114
Co 0.000 0.000 0.000
Co 0.500 0.500 0.500
I 0.036 0.216 0.253
I 0.097 0.403 0.750
I 0.120 0.628 0.008
I 0.128 0.620 0.508
I 0.158 0.842 0.266
I 0.216 0.036 0.747
I 0.245 0.245 0.500
I 0.255 0.255 0.000
I 0.284 0.464 0.247
I 0.342 0.658 0.766
I 0.372 0.880 0.008
I 0.380 0.872 0.508
I 0.403 0.097 0.250
I 0.464 0.284 0.753
I 0.536 0.716 0.247
I 0.597 0.903 0.750
I 0.620 0.128 0.492
I 0.628 0.120 0.992
I 0.658 0.342 0.234
I 0.716 0.536 0.753
I 0.745 0.745 0.000
I 0.755 0.755 0.500
I 0.784 0.964 0.253
I 0.842 0.158 0.734
I 0.872 0.380 0.492
I 0.880 0.372 0.992
I 0.903 0.597 0.250
I 0.964 0.784 0.747

---

VASP calculation (PBEsol) on LaTiS2N after structural relaxation.

formation energy (no corrections)	237	meV/atom
Fermi-level density of states	5.93	states/eV per cell
symmetry	P4/mmm

Cell: 5.383 5.383 4.043 Å, 90.00 90.00 90.00°
Fractional positions:
La 0.000 0.000 0.000
Ti 0.500 0.500 0.500
S 0.000 0.500 0.000
S 0.500 0.000 0.000
N 0.000 0.000 0.500

---

VASP calculation (PBEsol) on ZnPb3W after structural relaxation.

formation energy	1.471	eV/atom
excess energy over the best structure of this formula in the dataset	0.7300	eV/atom
Fermi-level density of states	2.91	states/eV per cell
symmetry	Pm-3m

Cell: 5.165 5.165 5.165 Å, 90.00 90.00 90.00°
Fractional positions:
Zn 0.000 0.000 0.000
Pb 0.000 0.000 0.500
Pb 0.000 0.500 0.000
Pb 0.500 0.000 0.000
W 0.500 0.500 0.500

---

VASP calculation (PBEsol) on RbTcN2 after structural relaxation.

formation energy (no corrections)	-297	meV/atom
Fermi-level density of states	3.26	states/eV per cell
symmetry	I-42d

Cell: 5.947 5.947 5.947 Å, 120.66 120.66 88.86°
Fractional positions:
Rb 0.000 0.000 0.000
Rb 0.750 0.250 0.500
Tc 0.250 0.750 0.500
Tc 0.500 0.500 0.000
N 0.319 0.625 0.194
N 0.375 0.569 0.694
N 0.431 0.125 0.806
N 0.875 0.681 0.306

---

VASP calculation (PBEsol) on P2OsSF after structural relaxation.

formation energy (no corrections)	451	meV/atom
Fermi-level density of states	4.85	states/eV per cell
symmetry	P4/mmm

Cell: 4.535 4.535 4.535 Å, 90.00 90.00 90.00°
Fractional positions:
P 0.000 0.500 0.000
P 0.500 0.000 0.000
Os 0.000 0.000 0.000
S 0.000 0.000 0.500
F 0.500 0.500 0.500

---

VASP calculation (PBEsol) on BaAs2W after structural relaxation.

formation energy	-0.259	eV/atom
excess energy over the best structure of this formula in the dataset	0.0000	eV/atom
Fermi-level density of states	0.10	states/eV per cell
symmetry	R3m

Cell: 7.766 7.766 7.766 Å, 28.03 28.03 28.03°
Fractional positions:
Ba 0.000 0.000 0.000
As 0.567 0.567 0.567
As 0.775 0.775 0.775
W 0.173 0.173 0.173

---

VASP calculation (PBEsol) on AlTcAu after structural relaxation.

formation energy	0.509	eV/atom
Fermi-level density of states	2.75	states/eV per cell
symmetry	F-43m

Cell: 4.270 4.270 4.270 Å, 60.00 60.00 60.00°
Fractional positions:
Al 0.000 0.000 0.000
Tc 0.750 0.750 0.750
Au 0.500 0.500 0.500

---

The records above give, respectively, raw total energy values of -0.281, -0.186, -0.219, -0.147, -0.281, -0.205, -0.250, -0.217 hartree per atom.